(1)
4
Lattice="3.2014 0.0000 0.0000 0.0000 3.2040 0.0000 0.0000 0.0000 7.2524" Properties=species:S:1:pos:R:3 comment="SbP2Ir, optimized geometry, DFT PBE-GGA" magnetic_moment_mub_per_cell=0.00 raw_formation_energy_ev_per_atom=0.220 density_g_cm3=8.39 pbc="T T T"
Ir 1.6007 1.6020 5.7469
P 0.0000 0.0000 0.0846
P 1.6007 1.6020 0.9697
Sb 0.0000 0.0000 4.0773

---

(2)
8
Lattice="-2.0049 3.5791 2.4145 4.3739 -3.5246 8.8563 8.4463 5.9490 -1.8049" Properties=species:S:1:pos:R:3 comment="K6RbCd, optimized geometry, DFT PBE-GGA" formation_energy_ev_per_atom=0.0068 magnetic_moment_mub_per_cell=0.00 density_g_cm3=1.37 pbc="T T T"
K 2.7182 3.5916 1.6253
K 9.1251 4.8033 5.1493
K 3.2831 -0.4620 3.4110
K 8.5236 0.5290 6.2934
K 6.7282 1.9523 2.6928
K 5.0664 -1.9137 7.0435
Rb 6.9343 6.5531 0.7363
Cd 4.8920 1.8022 6.0829

---

(3)
18
Lattice="-1.8654 5.5943 0.4637 -4.1129 -1.7958 5.1200 4.9829 1.2922 4.4560" Properties=species:S:1:pos:R:3 comment="TmTh2WN5, optimized geometry, DFT PBE-GGA" magnetic_moment_mub_per_cell=0.00 raw_formation_energy_ev_per_atom=-1.036 density_g_cm3=10.74 pbc="T T T"
Tm 0.4350 -0.2518 4.7880
Tm 0.0000 0.0000 0.0000
Th -2.8405 1.8132 4.4287
Th 0.0039 2.9154 2.5734
Th -0.9994 2.1753 7.4664
Th 1.8450 3.2775 5.6110
W 2.4915 0.6461 2.2280
W -2.0565 -0.8979 2.5600
N -0.4977 2.5454 5.0199
N -0.9327 2.7972 0.2318
N 2.1819 1.8789 3.7214
N -2.1827 0.2288 6.0711
N -1.1762 0.8544 2.5722
N 1.1754 1.2533 7.2203
N 1.1873 4.8619 3.9686
N 0.1807 4.2363 7.4675
N -3.1774 3.2118 6.3183
N -2.1708 3.8374 2.8194

---

(4)
7
Lattice="4.6898 0.0000 1.4652 2.1160 4.1853 1.4652 -0.1110 -0.0683 8.5935" Properties=species:S:1:pos:R:3 comment="ErMg2Hg4, optimized geometry, DFT PBE-GGA" formation_energy_ev_per_atom=-0.2660 magnetic_moment_mub_per_cell=0.00 density_g_cm3=9.97 pbc="T T T"
Er 0.0000 0.0000 0.0000
Mg 5.0243 3.0898 8.6326
Mg 1.6705 1.0273 2.8913
Hg 5.8800 3.6160 5.8937
Hg 0.8148 0.5011 5.6302
Hg 4.1730 2.5662 3.1194
Hg 2.5218 1.5508 8.4045

---

(5)
4
Lattice="3.3781 0.0000 0.0000 0.0000 4.8072 0.0000 0.0000 0.0000 4.8072" Properties=species:S:1:pos:R:3 comment="YUTc2, optimized geometry, DFT PBE-GGA" formation_energy_ev_per_atom=0.0304 magnetic_moment_mub_per_cell=0.53 density_g_cm3=11.12 pbc="T T T"
Y 1.6891 2.4036 2.4036
U 1.6891 0.0000 0.0000
Tc 0.0000 0.0000 2.4036
Tc 0.0000 2.4036 0.0000

---

(6)
4
Lattice="5.0840 0.0028 0.0087 -2.5139 4.8561 0.0063 0.0562 0.9176 2.8520" Properties=species:S:1:pos:R:3 comment="ScSbIr2, optimized geometry, DFT PBE-GGA" magnetic_moment_mub_per_cell=0.00 raw_formation_energy_ev_per_atom=-0.208 density_g_cm3=13.00 pbc="T T T"
Ir 0.0000 0.0000 0.0000
Ir 2.5701 0.4602 1.4304
Sb -1.2289 2.8869 1.4292
Sc 1.2850 2.4295 0.0075

---

(7)
5
Lattice="5.2382 0.0000 0.0000 0.0000 4.5749 0.0000 0.0000 0.0000 5.2382" Properties=species:S:1:pos:R:3 comment="LaScRuAu2, optimized geometry, DFT PBE-GGA" formation_energy_ev_per_atom=-0.0992 magnetic_moment_mub_per_cell=0.00 density_g_cm3=8.98 pbc="T T T"
Sc 0.0000 2.2874 0.0000
Ru 0.0000 0.0000 0.0000
Au 0.0000 0.0000 2.6191
Au 2.6191 0.0000 0.0000
La 2.6191 2.2874 2.6191

---

(8)
7
Lattice="0.1568 3.7235 1.1782 -4.5640 0.9975 3.9381 0.8182 -0.0785 6.6223" Properties=species:S:1:pos:R:3 comment="Rb2H3Pd2, optimized geometry, DFT PBE-GGA" magnetic_moment_mub_per_cell=0.00 density_g_cm3=5.14 energy_ev_per_atom=-3.352 pbc="T T T"
Rb -0.1623 2.3683 5.5033
Rb -3.4267 2.2742 6.2353
H 0.0000 0.0000 0.0000
H -2.7074 3.1422 3.3964
H -0.8816 1.5004 8.3421
Pd -0.5830 3.3919 8.8078
Pd -3.0060 1.2507 2.9307